# 1
DFT (PBEsol) results for crystalline Ta11P2Se8 at its relaxed geometry.

a = 11.874 Å, b = 19.145 Å, c = 3.409 Å
α = 90.00°, β = 90.00°, γ = 90.00°
Fractional coordinates of all 42 atoms:
Ta 0.000 0.000 0.000
Ta 0.050 0.242 0.000
Ta 0.067 0.114 0.500
Ta 0.153 0.789 0.500
Ta 0.178 0.951 0.500
Ta 0.180 0.355 0.500
Ta 0.320 0.855 0.000
Ta 0.322 0.451 0.000
Ta 0.347 0.289 0.000
Ta 0.433 0.614 0.000
Ta 0.450 0.742 0.500
Ta 0.500 0.500 0.500
Ta 0.550 0.258 0.500
Ta 0.567 0.386 0.000
Ta 0.653 0.711 0.000
Ta 0.678 0.549 0.000
Ta 0.680 0.145 0.000
Ta 0.820 0.645 0.500
Ta 0.822 0.049 0.500
Ta 0.847 0.211 0.500
Ta 0.933 0.886 0.500
Ta 0.950 0.758 0.000
P 0.087 0.874 0.000
P 0.413 0.374 0.500
P 0.587 0.626 0.500
P 0.913 0.126 0.000
Se 0.039 0.670 0.500
Se 0.109 0.447 0.000
Se 0.216 0.058 0.000
Se 0.220 0.214 0.500
Se 0.280 0.714 0.000
Se 0.284 0.558 0.500
Se 0.391 0.947 0.500
Se 0.461 0.170 0.000
Se 0.539 0.830 0.000
Se 0.609 0.053 0.500
Se 0.716 0.442 0.500
Se 0.720 0.286 0.000
Se 0.780 0.786 0.500
Se 0.784 0.942 0.000
Se 0.891 0.553 0.000
Se 0.961 0.330 0.500

Results
raw total energy = -9.3591 eV per atom
crystal system = orthorhombic
space group = Pnnm

***

# 2
DFT (PBEsol) results for crystalline TaP2Se at its relaxed geometry.

a = 3.402 Å, b = 3.402 Å, c = 8.535 Å
α = 90.00°, β = 90.00°, γ = 124.58°
Fractional coordinates of all 4 atoms:
Ta 0.000 0.000 0.000
P 0.000 0.000 0.402
P 0.500 0.500 0.234
Se 0.500 0.500 0.778

Results
raw total energy = -6.7656 eV per atom
crystal system = orthorhombic
space group = Cmm2

***

# 3
DFT (PBEsol) results for crystalline Ta3PSe at its relaxed geometry.

a = 4.589 Å, b = 4.589 Å, c = 4.589 Å
α = 90.00°, β = 90.00°, γ = 90.00°
Fractional coordinates of all 5 atoms:
Ta 0.000 0.000 0.500
Ta 0.000 0.500 0.000
Ta 0.500 0.000 0.000
P 0.000 0.000 0.000
Se 0.500 0.500 0.500

Results
raw total energy = -8.8387 eV per atom
crystal system = cubic
space group = Pm-3m